# 1
! Cs3PuCr2S6 (PBE, relaxed); values from VASP
&SYSTEM
  ibrav = 0, nat = 12, ntyp = 4
/
ATOMIC_SPECIES
Cs 132.91 Cs.upf
Pu 244.00 Pu.upf
Cr 52.00 Cr.upf
S 32.06 S.upf
CELL_PARAMETERS angstrom
3.311 -5.733 0.000
3.311 5.733 0.000
-2.212 0.000 7.933
ATOMIC_POSITIONS crystal
Cs 0.000 0.000 0.000
Cs 0.335 0.665 0.000
Cs 0.665 0.335 0.000
Pu 0.500 0.500 0.500
Cr 0.166 0.834 0.500
Cr 0.834 0.166 0.500
S 0.090 0.444 0.331
S 0.203 0.203 0.668
S 0.444 0.090 0.331
S 0.556 0.910 0.669
S 0.797 0.797 0.332
S 0.910 0.556 0.669
! Energy relative to the elements, uncorrected (eV/atom): -0.869
! Total magnetization (μB/f.u.): 6.7

=====

# 2
! Cs2Pu2CrSe6 (PBE, relaxed); values from VASP
&SYSTEM
  ibrav = 0, nat = 11, ntyp = 4
/
ATOMIC_SPECIES
Cs 132.91 Cs.upf
Pu 244.00 Pu.upf
Cr 52.00 Cr.upf
Se 78.96 Se.upf
CELL_PARAMETERS angstrom
3.539 -6.053 0.000
3.539 6.053 0.000
-2.452 0.000 8.538
ATOMIC_POSITIONS crystal
Cs 0.171 0.829 0.000
Cs 0.829 0.171 0.000
Pu 0.333 0.667 0.500
Pu 0.667 0.333 0.500
Cr 0.000 0.000 0.500
Se 0.063 0.372 0.676
Se 0.247 0.247 0.326
Se 0.372 0.063 0.676
Se 0.628 0.937 0.324
Se 0.753 0.753 0.674
Se 0.937 0.628 0.324
! Energy relative to the elements, uncorrected (eV/atom): -1.176
! Total magnetization (μB/f.u.): 12.0

=====

# 3
! CsRbCr2 (PBE, relaxed); values from VASP
&SYSTEM
  ibrav = 0, nat = 4, ntyp = 3
/
ATOMIC_SPECIES
Cs 132.91 Cs.upf
Rb 85.47 Rb.upf
Cr 52.00 Cr.upf
CELL_PARAMETERS angstrom
0.000 4.113 4.113
4.113 0.000 4.113
4.113 4.113 0.000
ATOMIC_POSITIONS crystal
Cs 0.000 0.000 0.000
Rb 0.500 0.500 0.500
Cr 0.250 0.250 0.250
Cr 0.750 0.750 0.750
! Total magnetization (μB/f.u.): 10.1
! Calculated formation energy (eV per atom): 1.439

=====

# 4
! Cs2RbCr (PBE, relaxed); values from VASP
&SYSTEM
  ibrav = 0, nat = 4, ntyp = 3
/
ATOMIC_SPECIES
Cs 132.91 Cs.upf
Rb 85.47 Rb.upf
Cr 52.00 Cr.upf
CELL_PARAMETERS angstrom
0.000 5.099 5.099
5.099 0.000 5.099
5.099 5.099 0.000
ATOMIC_POSITIONS crystal
Cs 0.250 0.250 0.250
Cs 0.750 0.750 0.750
Rb 0.000 0.000 0.000
Cr 0.500 0.500 0.500
! Total magnetization (μB/f.u.): 5.1
! Calculated formation energy (eV per atom): 0.682

=====

# 5
! Cs3RbCr (PBE, relaxed); values from VASP
&SYSTEM
  ibrav = 0, nat = 5, ntyp = 3
/
ATOMIC_SPECIES
Cs 132.91 Cs.upf
Rb 85.47 Rb.upf
Cr 52.00 Cr.upf
CELL_PARAMETERS angstrom
8.435 0.000 0.000
0.000 8.435 0.000
0.000 0.000 8.435
ATOMIC_POSITIONS crystal
Cs 0.000 0.000 0.500
Cs 0.000 0.500 0.000
Cs 0.500 0.000 0.000
Rb 0.000 0.000 0.000
Cr 0.500 0.500 0.500
! Total magnetization (μB/f.u.): 5.0
! Calculated formation energy (eV per atom): 0.885

=====

# 6
! CsRbCr2Rh (PBE, relaxed); values from VASP
&SYSTEM
  ibrav = 0, nat = 5, ntyp = 4
/
ATOMIC_SPECIES
Cs 132.91 Cs.upf
Rb 85.47 Rb.upf
Cr 52.00 Cr.upf
Rh 102.91 Rh.upf
CELL_PARAMETERS angstrom
5.958 0.000 0.000
0.000 5.958 0.000
0.000 0.000 6.573
ATOMIC_POSITIONS crystal
Cs 0.000 0.000 0.000
Rb 0.000 0.000 0.500
Cr 0.000 0.500 0.000
Cr 0.500 0.000 0.000
Rh 0.500 0.500 0.500
! Total magnetization (μB/f.u.): 9.8
! Calculated formation energy (eV per atom): 2.334